Entry i
Compound: GeHS
Source: Alexandria via LeMat-Bulk
Functional: PBE
Structure: optimized geometry

Lattice parameters (Å, degrees): 3.803 3.803 6.258 90.00 90.00 90.00
Space group I4mm (No. 107)
Inequivalent atoms, fractional coordinates:
Ge (0.000, 0.000, 0.000) [2 per cell]
H (0.000, 0.000, 0.279) [2 per cell]
S (0.000, 0.000, 0.550) [2 per cell]

Entry ii
Compound: GeHS
Source: Alexandria via LeMat-Bulk
Functional: PBE
Structure: optimized geometry

Lattice parameters (Å, degrees): 4.319 4.752 6.755 75.06 81.06 79.25
Space group P1 (No. 1)
Inequivalent atoms, fractional coordinates:
Ge (0.000, 0.000, 0.000) [1 per cell]
Ge (0.448, 0.319, 0.904) [1 per cell]
H (0.072, 0.385, 0.298) [1 per cell]
H (0.373, 0.934, 0.605) [1 per cell]
S (0.109, 0.814, 0.694) [1 per cell]
S (0.336, 0.506, 0.210) [1 per cell]

Stability summary - winner: entry ii; margin: 179 meV/atom.